Compound: BaMgCu2
Source: Alexandria
Functional: PBEsol
Structure: relaxed

Cell and atoms, written as CIF:
```
data_BaMgCu2
_chemical_formula_sum 'Ba1 Mg1 Cu2'
_space_group_name_H-M_alt 'P 1'
_space_group_IT_number 1
_cell_length_a 3.3783
_cell_length_b 3.6109
_cell_length_c 6.9801
_cell_angle_alpha 90.00
_cell_angle_beta 90.00
_cell_angle_gamma 90.00
loop_
_space_group_symop_operation_xyz
'x,y,z'
loop_
_atom_site_label
_atom_site_type_symbol
_atom_site_fract_x
_atom_site_fract_y
_atom_site_fract_z
Ba1 Ba 0.5000 0.5000 0.5000
Cu1 Cu 0.0000 0.0000 0.8261
Cu2 Cu 0.0000 0.0000 0.1739
Mg1 Mg 0.5000 0.5000 0.0000
```

As for the crystal system: orthorhombic. For the magnetic moment, the calculation gives 0.000 μB/cell. The calculation puts the total energy at -12.1 eV for the cell shown. The energy relative to the elements is 104.2 meV/atom.